Entry 1:
Computed, not measured: a relaxed structure of KCoCuGe2 at the PBEsol level of DFT.

Cell: 4.6291 4.6291 4.7275 Å, 90.00 90.00 90.00°
Last column: nearest neighbours and their distance in Å.
Atoms (fractional coordinates):
K 0.5000 0.5000 0.5000  4 Co 3.27, 8 Ge 3.31
Ge 0.5000 0.0000 0.0000  2 Cu 2.31
Ge 0.0000 0.5000 0.0000  2 Cu 2.31
Cu 0.0000 0.0000 0.0000  4 Ge 2.31, 2 Co 2.36
Co 0.0000 0.0000 0.5000  2 Cu 2.36

Results
DFT formation energy = 0.6700 eV per atom
V = 20.3 Å³ per atom
total energy = -3.95 eV/atom
Fermi-level density of states = 6.0 states/eV/cell
magnetic moment = 1.64 μB per cell

=====

Entry 2:
Computed, not measured: a relaxed structure of CoCu2GeSe4 at the PBEsol level of DFT.

Cell: 5.4764 5.4764 6.7058 Å, 114.10 114.10 90.00°
Last column: nearest neighbours and their distance in Å.
Atoms (fractional coordinates):
Se 0.3794 0.8704 0.2390  1 Co 2.31, 2 Cu 2.37, 1 Ge 2.44
Ge 0.2500 0.7500 0.5000  4 Se 2.44
Se 0.1296 0.1404 0.7610  1 Co 2.31, 2 Cu 2.37, 1 Ge 2.44
Se 0.6314 0.6206 0.7610  1 Co 2.31, 2 Cu 2.37, 1 Ge 2.44
Cu 0.0000 0.0000 0.0000  4 Se 2.37
Co 0.5000 0.5000 0.0000  4 Se 2.31
Cu 0.7500 0.2500 0.5000  4 Se 2.37
Se 0.8596 0.3686 0.2390  1 Co 2.31, 2 Cu 2.37, 1 Ge 2.44

Results
V = 20.5 Å³ per atom
total energy = -4.77 eV/atom
Fermi-level density of states = 3.4 states/eV/cell
magnetic moment = 2.50 μB per cell

=====

Entry 3:
Computed, not measured: a relaxed structure of LaCoCu2H at the PBEsol level of DFT.

Cell: 3.8632 5.0277 5.0277 Å, 90.00 90.00 90.00°
Last column: nearest neighbours and their distance in Å.
Atoms (fractional coordinates):
Cu 0.0000 0.5000 0.0000  2 La 2.51
Cu 0.0000 0.0000 0.5000  2 La 2.51
La 0.0000 0.0000 0.0000  2 H 1.93
Co 0.5000 0.5000 0.5000  8 Cu 3.17
H 0.5000 0.0000 0.0000  2 La 1.93

Results
V = 19.5 Å³ per atom
total energy = -3.69 eV/atom
Fermi-level density of states = 5.2 states/eV/cell
magnetic moment = 2.01 μB per cell

=====

Entry 4:
Computed, not measured: a relaxed structure of CoCu2HN at the PBEsol level of DFT.

Cell: 3.2823 4.4753 4.4753 Å, 90.00 90.00 90.00°
Last column: nearest neighbours and their distance in Å.
Atoms (fractional coordinates):
Cu 0.0000 0.5000 0.0000  2 Co 2.24
Co 0.0000 0.0000 0.0000  2 N 1.64
N 0.5000 0.0000 0.0000  2 Co 1.64
H 0.5000 0.5000 0.5000  8 Cu 2.77
Cu 0.0000 0.0000 0.5000  2 Co 2.24

Results
V = 13.1 Å³ per atom
total energy = -4.55 eV/atom
Fermi-level density of states = 4.6 states/eV/cell
magnetic moment = 0.41 μB per cell

=====

Entry 5:
Computed, not measured: a relaxed structure of NbCo2CuH at the PBEsol level of DFT.

Cell: 3.6870 3.6870 3.7572 Å, 90.00 90.00 90.00°
Last column: nearest neighbours and their distance in Å.
Atoms (fractional coordinates):
Cu 0.5000 0.5000 0.5000  4 Nb 2.61, 8 Co 2.63
Co 0.5000 0.0000 0.0000  2 H 1.84
H 0.0000 0.0000 0.0000  4 Co 1.84, 2 Nb 1.88
Nb 0.0000 0.0000 0.5000  2 H 1.88
Co 0.0000 0.5000 0.0000  2 H 1.84

Results
V = 10.2 Å³ per atom
total energy = -6.76 eV/atom
Fermi-level density of states = 4.1 states/eV/cell
magnetic moment = 0.00 μB per cell

=====

Entry 6:
Computed, not measured: a relaxed structure of Co2CuPH at the PBEsol level of DFT.

Cell: 2.8127 4.3532 4.3532 Å, 90.00 90.00 90.00°
Last column: nearest neighbours and their distance in Å.
Atoms (fractional coordinates):
Co 0.0000 0.0000 0.5000  2 Cu 2.18
P 0.5000 0.5000 0.5000  8 Co 2.59, 2 P 2.81
Co 0.0000 0.5000 0.0000  2 Cu 2.18
Cu 0.0000 0.0000 0.0000  2 H 1.41
H 0.5000 0.0000 0.0000  2 Cu 1.41

Results
V = 10.7 Å³ per atom
total energy = -5.03 eV/atom
Fermi-level density of states = 4.1 states/eV/cell
magnetic moment = 1.89 μB per cell

=====

Entry 7:
Computed, not measured: a relaxed structure of TiCoCu2H at the PBEsol level of DFT.

Cell: 3.5981 3.5981 3.8950 Å, 90.00 90.00 90.00°
Last column: nearest neighbours and their distance in Å.
Atoms (fractional coordinates):
Ti 0.5000 0.5000 0.5000  4 Co 2.54, 8 Cu 2.65
Cu 0.5000 0.0000 0.0000  2 H 1.80
Cu 0.0000 0.5000 0.0000  2 H 1.80
Co 0.0000 0.0000 0.5000  2 H 1.95
H 0.0000 0.0000 0.0000  4 Cu 1.80, 2 Co 1.95

Results
V = 10.1 Å³ per atom
total energy = -5.55 eV/atom
Fermi-level density of states = 5.9 states/eV/cell
magnetic moment = 0.00 μB per cell

=====

Entry 8:
Computed, not measured: a relaxed structure of HfCo2Cu2 at the PBEsol level of DFT.

Cell: 3.4820 3.4820 5.9434 Å, 107.03 107.03 90.00°
Last column: nearest neighbours and their distance in Å.
Atoms (fractional coordinates):
Co 0.5996 0.5996 0.1993  1 Co 2.16, 4 Cu 2.38
Hf 0.0000 0.0000 0.0000  8 Co 2.69
Cu 0.7500 0.2500 0.5000  4 Co 2.38, 4 Cu 2.46
Cu 0.2500 0.7500 0.5000  4 Co 2.38, 4 Cu 2.46
Co 0.4004 0.4004 0.8007  1 Co 2.16, 4 Cu 2.38

Results
DFT formation energy = 0.0258 eV per atom
V = 13.1 Å³ per atom
total energy = -6.90 eV/atom
Fermi-level density of states = 4.6 states/eV/cell
magnetic moment = 1.00 μB per cell

=====

Entry 9:
Computed, not measured: a relaxed structure of Hf2CoCu at the PBEsol level of DFT.

Cell: 4.4497 4.4497 4.4497 Å, 60.00 60.00 60.00°
Last column: nearest neighbours and their distance in Å.
Atoms (fractional coordinates):
Hf 0.7500 0.7500 0.7500  4 Co 2.72, 4 Cu 2.72
Hf 0.2500 0.2500 0.2500  4 Co 2.72, 4 Cu 2.72
Co 0.0000 0.0000 0.0000  8 Hf 2.72
Cu 0.5000 0.5000 0.5000  8 Hf 2.72

Results
DFT formation energy = -0.2583 eV per atom
V = 15.6 Å³ per atom
total energy = -8.53 eV/atom
Fermi-level density of states = 3.1 states/eV/cell
magnetic moment = 0.00 μB per cell

=====

Entry 10:
Computed, not measured: a relaxed structure of CoCu2Hg at the PBEsol level of DFT.

Cell: 2.9977 2.9977 5.9213 Å, 90.00 90.00 90.00°
Last column: nearest neighbours and their distance in Å.
Atoms (fractional coordinates):
Cu 0.0000 0.0000 0.2883  4 Co 2.46, 1 Cu 2.51, 4 Hg 2.72
Co 0.5000 0.5000 0.5000  8 Cu 2.46
Hg 0.5000 0.5000 0.0000  8 Cu 2.72, 2 Co 2.96, 4 Hg 3.00
Cu 0.0000 0.0000 0.7117  4 Co 2.46, 1 Cu 2.51, 4 Hg 2.72

Results
DFT formation energy = 0.2640 eV per atom
V = 13.3 Å³ per atom
total energy = -3.98 eV/atom
Fermi-level density of states = 4.2 states/eV/cell
magnetic moment = 1.56 μB per cell

=====

Entry 11:
Computed, not measured: a relaxed structure of CoCu2Hg at the PBEsol level of DFT.

Cell: 3.7321 3.7319 3.7857 Å, 90.00 90.00 90.00°
Last column: nearest neighbours and their distance in Å.
Atoms (fractional coordinates):
Hg 0.5000 0.0000 0.5000  4 Co 2.64, 8 Cu 2.66
Cu 0.5000 0.5000 0.0000  4 Cu 2.64, 4 Hg 2.66, 4 Co 2.66
Co 0.0000 0.5000 0.5000  4 Hg 2.64, 8 Cu 2.66
Cu 0.0000 0.0000 0.0000  4 Cu 2.64, 4 Co 2.66, 4 Hg 2.66

Results
DFT formation energy = 0.2613 eV per atom
V = 13.2 Å³ per atom
total energy = -3.98 eV/atom
Fermi-level density of states = 2.9 states/eV/cell
magnetic moment = 0.89 μB per cell

=====

Entry 12:
Computed, not measured: a relaxed structure of CoCu2Hg at the PBEsol level of DFT.

Cell: 2.7081 4.5716 4.5716 Å, 108.93 90.00 90.00°
Last column: nearest neighbours and their distance in Å.
Atoms (fractional coordinates):
Cu 0.0000 0.0000 0.5000  4 Hg 2.66, 4 Co 2.66, 4 Cu 2.66-2.71
Hg 0.5000 0.0000 0.0000  8 Cu 2.66, 2 Co 2.66, 2 Hg 2.71
Co 0.5000 0.5000 0.5000  8 Cu 2.66, 2 Hg 2.66, 2 Co 2.71
Cu 0.0000 0.5000 0.0000  4 Co 2.66, 4 Hg 2.66, 4 Cu 2.66-2.71

Results
DFT formation energy = 0.3329 eV per atom
V = 13.4 Å³ per atom
total energy = -3.91 eV/atom
Fermi-level density of states = 2.6 states/eV/cell
magnetic moment = 1.34 μB per cell

=====

Please write out number 11 again, unchanged.
Computed, not measured: a relaxed structure of CoCu2Hg at the PBEsol level of DFT.

Cell: 3.7321 3.7319 3.7857 Å, 90.00 90.00 90.00°
Last column: nearest neighbours and their distance in Å.
Atoms (fractional coordinates):
Hg 0.5000 0.0000 0.5000  4 Co 2.64, 8 Cu 2.66
Cu 0.5000 0.5000 0.0000  4 Cu 2.64, 4 Hg 2.66, 4 Co 2.66
Co 0.0000 0.5000 0.5000  4 Hg 2.64, 8 Cu 2.66
Cu 0.0000 0.0000 0.0000  4 Cu 2.64, 4 Co 2.66, 4 Hg 2.66

Results
DFT formation energy = 0.2613 eV per atom
V = 13.2 Å³ per atom
total energy = -3.98 eV/atom
Fermi-level density of states = 2.9 states/eV/cell
magnetic moment = 0.89 μB per cell

=====

- magnetic moment of number 7 (TiCoCu2H)?
  0.00 μB per cell

=====

- Among the records above, which one has the highest V?
  CoCu2GeSe4

=====

- Fermi-level density of states of number 3 (LaCoCu2H)?
  5.2 states/eV/cell